A plane-wave DFT calculation with PBE was carried out for NiMo2Ir after structural relaxation.

a b c (Å): 2.7263 3.9049 5.3571
angles (deg): 90.00 90.12 90.00
With the nearest neighbours (Å) after each atom.
Fractional coordinates of all 4 atoms:
Ni (0.0000, 0.0000, 0.0000)  2 Ir 2.68, 8 Mo 2.71-2.72, 2 Ni 2.73
Mo (0.4982, 0.5000, 0.2446)  4 Mo 2.62-2.74, 4 Ni 2.71-2.72, 4 Ir 2.75
Mo (0.5018, 0.5000, 0.7554)  4 Mo 2.62-2.74, 4 Ni 2.71-2.72, 4 Ir 2.75
Ir (0.0000, 0.0000, 0.5000)  2 Ni 2.68, 2 Ir 2.73, 8 Mo 2.75

Calculated values
Calculated total energy, eV per cell: -36.9
Total magnetic moment, Bohr magnetons per cell: 0.0
Distance to the lowest polymorph of the same formula, kcal/mol of atoms: 0.495

A plane-wave DFT calculation with PBE was carried out for NiMo2Ir after structural relaxation.

a b c (Å): 2.7362 4.3610 4.7875
angles (deg): 90.00 90.00 90.00
With the nearest neighbours (Å) after each atom.
Fractional coordinates of all 4 atoms:
Ni (0.0000, 0.0000, 0.0000)  8 Mo 2.67-2.79, 2 Ir 2.70, 2 Ni 2.74
Mo (0.5000, 0.0000, 0.4931)  4 Ir 2.71, 4 Mo 2.73-2.74, 4 Ni 2.73-2.79
Mo (0.5000, 0.5000, 0.1510)  4 Ni 2.67, 4 Ir 2.69-2.83, 4 Mo 2.73-2.74
Ir (0.0000, 0.5000, 0.6677)  8 Mo 2.69-2.83, 2 Ni 2.70, 2 Ir 2.74

Calculated values
Calculated total energy, eV per cell: -37.0
Total magnetic moment, Bohr magnetons per cell: 0.0
Distance to the lowest polymorph of the same formula, kcal/mol of atoms: 0.000

A plane-wave DFT calculation with PBE was carried out for NiMo2Ir2 after structural relaxation.

a b c (Å): 7.5206 7.5206 2.7792
angles (deg): 90.00 90.00 90.00
With the nearest neighbours (Å) after each atom.
Fractional coordinates of all 10 atoms:
Ni (0.0000, 0.0000, 0.0000)  2 Ni 2.78, 4 Ir 2.96
Ni (0.5000, 0.5000, 0.0000)  2 Ni 2.78, 4 Ir 2.96
Mo (0.1678, 0.3322, 0.5000)  6 Ir 2.57-2.64, 2 Mo 2.78
Mo (0.3322, 0.8322, 0.5000)  6 Ir 2.57-2.64, 2 Mo 2.78
Mo (0.6678, 0.1678, 0.5000)  6 Ir 2.57-2.64, 2 Mo 2.78
Mo (0.8322, 0.6678, 0.5000)  6 Ir 2.57-2.64, 2 Mo 2.78
Ir (0.1286, 0.6286, 0.0000)  6 Mo 2.57-2.64, 3 Ir 2.73-2.78
Ir (0.3714, 0.1286, 0.0000)  6 Mo 2.57-2.64, 3 Ir 2.73-2.78
Ir (0.6286, 0.8714, 0.0000)  6 Mo 2.57-2.64, 3 Ir 2.73-2.78
Ir (0.8714, 0.3714, 0.0000)  6 Mo 2.57-2.64, 3 Ir 2.73-2.78

Calculated values
Calculated total energy, eV per cell: -89.6
Total magnetic moment, Bohr magnetons per cell: 0.0
Distance to the lowest polymorph of the same formula, kcal/mol of atoms: 5.942